# Er3ScO6

A relaxed structure of Er3ScO6 (GGA-PBE, OQMD).

Lattice parameters (Å, degrees): 6.4996 6.4996 6.4996 91.95 91.95 91.95
Last column: nearest neighbours and their distance in Å.
Sites, in units of the cell vectors:
O: 0.5941 0.4639 0.8081  1 Sc 2.10, 3 Er 2.23-2.27
O: 0.1919 0.4059 0.5361  1 Sc 2.10, 3 Er 2.23-2.27
O: 0.9300 0.0870 0.6920  1 Sc 2.14, 3 Er 2.19-2.30
O: 0.0700 0.9130 0.3080  1 Sc 2.14, 3 Er 2.19-2.30
O: 0.4639 0.8081 0.5941  1 Sc 2.10, 3 Er 2.23-2.27
O: 0.4059 0.5361 0.1919  1 Sc 2.10, 3 Er 2.23-2.27
O: 0.3080 0.0700 0.9130  1 Sc 2.14, 3 Er 2.19-2.30
O: 0.6920 0.9300 0.0870  1 Sc 2.14, 3 Er 2.19-2.30
O: 0.5361 0.1919 0.4059  1 Sc 2.10, 3 Er 2.23-2.27
O: 0.9130 0.3080 0.0700  1 Sc 2.14, 3 Er 2.19-2.30
O: 0.8081 0.5941 0.4639  1 Sc 2.10, 3 Er 2.23-2.27
O: 0.0870 0.6920 0.9300  1 Sc 2.14, 3 Er 2.19-2.30
Er: 0.4393 0.7475 0.9317  6 O 2.19-2.30
Er: 0.7475 0.9317 0.4393  6 O 2.19-2.30
Er: 0.5607 0.2525 0.0683  6 O 2.19-2.30
Er: 0.0683 0.5607 0.2525  6 O 2.19-2.30
Er: 0.9317 0.4393 0.7475  6 O 2.19-2.30
Er: 0.2525 0.0683 0.5607  6 O 2.19-2.30
Sc: 0.0000 0.0000 0.0000  6 O 2.14
Sc: 0.5000 0.5000 0.5000  6 O 2.10

Summary:
**Magnetic moment**: 0.00 μB/cell
**Space-group type**: R-3, No. 148


# ZnCd

A relaxed structure of ZnCd (GGA-PBE, OQMD).

Lattice parameters (Å, degrees): 7.7032 5.9360 4.8939 90.00 90.00 100.65
Last column: nearest neighbours and their distance in Å.
Sites, in units of the cell vectors:
Cd: 0.3275 0.8346 0.0000  5 Zn 2.87-3.11, 7 Cd 2.93-3.10
Cd: 0.6868 0.1715 0.0000  6 Zn 2.77-2.97, 4 Cd 3.01-3.03
Cd: 0.5654 0.3951 0.5000  5 Zn 2.92-3.17, 7 Cd 2.93-3.11
Cd: 0.3235 0.3272 0.0000  5 Zn 2.92-3.16, 7 Cd 2.93-3.11
Cd: 0.2021 0.5506 0.5000  6 Zn 2.77-2.97, 4 Cd 3.01-3.03
Cd: 0.5613 0.8876 0.5000  5 Zn 2.87-3.11, 7 Cd 2.93-3.10
Zn: 0.9872 0.5092 0.0000  4 Zn 2.65-2.94, 4 Cd 2.77-2.95
Zn: 0.6891 0.6731 0.0000  4 Zn 2.65-2.90, 1 Cd 2.96
Zn: 0.9956 0.9891 0.0000  8 Zn 2.73-2.94, 3 Cd 2.79-2.92
Zn: 0.9016 0.2131 0.5000  4 Zn 2.66-2.94, 4 Cd 2.77-2.96
Zn: 0.1997 0.0490 0.5000  4 Zn 2.66-2.89, 1 Cd 2.96
Zn: 0.8933 0.7332 0.5000  8 Zn 2.73-2.94, 3 Cd 2.79-2.92

Summary:
**Energy of formation from the pure elements**: 67 meV/atom
**Space-group type**: P2_1/m, No. 11


# GaFeReMo

A relaxed structure of GaFeReMo (GGA-PBE, OQMD).

Lattice parameters (Å, degrees): 4.2854 4.2854 4.2854 60.00 60.00 60.00
Last column: nearest neighbours and their distance in Å.
Sites, in units of the cell vectors:
Fe: 0.7500 0.7500 0.7500  4 Mo 2.62, 4 Ga 2.62
Re: 0.2500 0.2500 0.2500  4 Mo 2.62, 4 Ga 2.62
Ga: 0.0000 0.0000 0.0000  4 Re 2.62, 4 Fe 2.62
Mo: 0.5000 0.5000 0.5000  4 Re 2.62, 4 Fe 2.62

Summary:
**Magnetic moment**: 0.02 μB/cell
**Excess energy over the best structure of this formula in the dataset**: 0 kJ/mol of formula units
**Space-group type**: F-43m, No. 216


# AsPd17

A relaxed structure of AsPd17 (GGA-PBE, OQMD).

Lattice parameters (Å, degrees): 5.5081 5.5081 30.3746 90.00 90.00 120.00
Last column: nearest neighbours and their distance in Å.
Sites, in units of the cell vectors:
Pd: 0.6662 0.8331 0.6518  12 Pd 2.75-2.82
Pd: 0.0000 0.0000 0.7278  12 Pd 2.75-2.85
Pd: 0.1664 0.3329 0.1944  7 Pd 2.75-2.85, 2 As 2.77
Pd: 0.3339 0.1669 0.3482  12 Pd 2.75-2.82
Pd: 0.1664 0.8336 0.1944  7 Pd 2.75-2.85, 2 As 2.77
Pd: 0.5006 0.4994 0.7284  1 As 2.60, 11 Pd 2.74-2.83
Pd: 0.9988 0.4994 0.7284  1 As 2.60, 11 Pd 2.74-2.83
Pd: 0.8336 0.1664 0.8056  7 Pd 2.75-2.85, 2 As 2.77
Pd: 0.6671 0.8336 0.1944  7 Pd 2.75-2.85, 2 As 2.77
Pd: 0.8331 0.1669 0.3482  12 Pd 2.75-2.82
Pd: 0.5000 0.0000 0.5000  12 Pd 2.75-2.80
Pd: 0.8331 0.6661 0.3482  12 Pd 2.75-2.82
Pd: 0.8336 0.6671 0.8056  7 Pd 2.75-2.85, 2 As 2.77
Pd: 0.1669 0.8331 0.6518  12 Pd 2.75-2.82
Pd: 0.4994 0.5006 0.2716  1 As 2.60, 11 Pd 2.74-2.83
Pd: 0.6666 0.8333 0.4240  12 Pd 2.75-2.80
Pd: 0.1669 0.3338 0.6518  12 Pd 2.75-2.82
Pd: 0.6667 0.3333 0.6519  12 Pd 2.75-2.81
Pd: 0.8333 0.6666 0.5760  12 Pd 2.75-2.80
Pd: 0.3334 0.1667 0.5760  12 Pd 2.75-2.80
Pd: 0.3333 0.6667 0.3481  12 Pd 2.75-2.81
Pd: 0.3333 0.6667 0.5759  12 Pd 2.75-2.80
Pd: 0.0000 0.0000 0.2722  12 Pd 2.75-2.85
Pd: 0.0000 0.5000 0.5000  12 Pd 2.75-2.80
Pd: 0.4994 0.9988 0.2716  1 As 2.60, 11 Pd 2.74-2.83
Pd: 0.0000 0.0000 0.5000  12 Pd 2.75-2.80
Pd: 0.5006 0.0012 0.7284  1 As 2.60, 11 Pd 2.74-2.83
Pd: 0.1667 0.8333 0.4240  12 Pd 2.75-2.80
Pd: 0.0012 0.5006 0.2716  1 As 2.60, 11 Pd 2.74-2.83
Pd: 0.3329 0.1664 0.8056  7 Pd 2.75-2.85, 2 As 2.77
Pd: 0.8333 0.1667 0.5760  12 Pd 2.75-2.80
Pd: 0.1667 0.3334 0.4240  12 Pd 2.75-2.80
Pd: 0.6667 0.3333 0.4241  12 Pd 2.75-2.80
Pd: 0.5000 0.5000 0.5000  12 Pd 2.75-2.80
As: 0.3333 0.6667 0.7960  9 Pd 2.60-2.77
As: 0.6667 0.3333 0.2041  9 Pd 2.60-2.77

Summary:
**Space-group type**: P-3m1, No. 164


Taking the records one at a time from the top gives raw total energy values of -0.316 -0.037 -0.315 -0.189 Ha/atom.